# Ti2Al2Ge (GGA-PBE, relaxed)
data_Ti2Al2Ge
_chemical_formula_sum 'Ti4 Al4 Ge2'
_space_group_name_H-M_alt 'C 1 2/m 1'
_space_group_IT_number 12
_space_group_name_Hall '-C 2y'
_cell_length_a 9.0915
_cell_length_b 3.7589
_cell_length_c 6.1400
_cell_angle_alpha 90.00
_cell_angle_beta 129.74
_cell_angle_gamma 90.00
loop_
_atom_site_label
_atom_site_fract_x
_atom_site_fract_y
_atom_site_fract_z
Ti1 0.0988 0.0000 0.3124
Al1 0.1948 0.5000 0.0916
Ge1 0.0000 0.5000 0.5000
# ΔE to the lowest computed polymorph ... 0.000 eV/atom

---

# PmDy5Tm12 (GGA-PBE, relaxed)
data_PmDy5Tm12
_chemical_formula_sum 'Pm2 Dy10 Tm24'
_space_group_name_H-M_alt 'C 1 2/m 1'
_space_group_IT_number 12
_space_group_name_Hall '-C 2y'
_cell_length_a 6.1015
_cell_length_b 10.5668
_cell_length_c 17.1765
_cell_angle_alpha 90.00
_cell_angle_beta 96.80
_cell_angle_gamma 90.00
loop_
_atom_site_label
_atom_site_fract_x
_atom_site_fract_y
_atom_site_fract_z
Pm1 0.0000 0.0000 0.0000
Dy1 0.0000 0.1665 0.5000
Dy2 0.0000 0.3333 0.0000
Dy3 0.0000 0.5000 0.5000
Tm1 0.1099 0.0000 0.3316
Tm2 0.1101 0.3334 0.3318
Tm3 0.2215 0.5000 0.1674
Tm4 0.2227 0.1670 0.1674
# Calculated total energy ... -162.5 eV/cell